1.
A relaxed structure of Pu3HgPt2. Source: Alexandria via LeMat-Bulk, functional GGA-PBE.

The structure in POSCAR format:
```
Pu3HgPt2
1.0
3.5221 0.0000 0.0000
0.0000 3.5221 0.0000
0.0000 0.0000 11.2498
Pu Hg Pt
3 1 2
Direct
0.0000 0.0000 0.0000
0.0000 0.0000 0.6949
0.0000 0.0000 0.3051
0.5000 0.5000 0.5000
0.5000 0.5000 0.8446
0.5000 0.5000 0.1554
```

## Properties
crystal system = tetragonal
energy relative to the elements = -545 meV/atom

---

2.
A relaxed structure of AlCdReO6. Source: Alexandria via LeMat-Bulk, functional GGA-PBE.

The structure in POSCAR format:
```
AlCdReO6
1.0
-4.7604 0.5297 0.9703
0.6760 -2.1844 4.5092
0.4608 5.0123 -0.4754
Al Cd Re O
1 1 1 6
Direct
0.5000 0.0000 0.0000
0.0000 0.3333 0.6667
0.5000 0.6667 0.3333
0.7136 0.7052 0.6649
0.7136 0.3351 0.0404
0.7136 0.9596 0.2948
0.2864 0.3351 0.2948
0.2864 0.7052 0.0404
0.2864 0.9596 0.6649
```

## Properties
crystal system = trigonal
formation energy from raw total energies = -1811 meV/atom

---

Repeat the first record exactly.
A relaxed structure of Pu3HgPt2. Source: Alexandria via LeMat-Bulk, functional GGA-PBE.

The structure in POSCAR format:
```
Pu3HgPt2
1.0
3.5221 0.0000 0.0000
0.0000 3.5221 0.0000
0.0000 0.0000 11.2498
Pu Hg Pt
3 1 2
Direct
0.0000 0.0000 0.0000
0.0000 0.0000 0.6949
0.0000 0.0000 0.3051
0.5000 0.5000 0.5000
0.5000 0.5000 0.8446
0.5000 0.5000 0.1554
```

## Properties
crystal system = tetragonal
energy relative to the elements = -545 meV/atom